[1]
This record from Alexandria describes Re3SO after structural relaxation. The functional is PBE-GGA.

Calculated values
The value obtained for the calculated total energy is -40.9 eV per cell. The calculation puts the calculated volume at 69.4 Å³/f.u. For the formation energy (no corrections), the calculation gives 1.11 eV per atom. The energy above the lowest structure with this stoichiometry is 0 meV per atom.

a = 4.109 Å, b = 4.109 Å, c = 4.109 Å
α = 90.00°, β = 90.00°, γ = 90.00°
Sites, in units of the cell vectors:
O: 0.000 0.000 0.000
Re: 0.500 0.000 0.000
Re: 0.000 0.500 0.000
Re: 0.000 0.000 0.500
S: 0.500 0.500 0.500

=====

[2]
This record from Alexandria describes Ce2GaSi after structural relaxation. The functional is PBE-GGA.

Calculated values
The value obtained for the calculated total energy is -45.2 eV per cell. The calculation puts the calculated volume at 97.4 Å³/f.u. For the formation energy (no corrections), the calculation gives -0.57 eV per atom. The energy above the lowest structure with this stoichiometry is 0 meV per atom.

a = 4.011 Å, b = 5.983 Å, c = 8.725 Å
α = 111.47°, β = 90.00°, γ = 90.00°
Each line ends with the local moment (μB).
Sites, in units of the cell vectors:
Ce: 0.750 0.215 0.425  0.86
Ce: 0.750 0.206 0.930  0.87
Ce: 0.250 0.785 0.575  0.86
Ce: 0.250 0.794 0.070  0.87
Si: 0.750 0.640 0.787  -0.02
Si: 0.250 0.360 0.213  -0.02
Ga: 0.750 0.641 0.284  -0.01
Ga: 0.250 0.359 0.716  -0.01

=====

[3]
This record from Alexandria describes Pr3ScSi2N6 after structural relaxation. The functional is PBE-GGA.

Calculated values
The value obtained for the calculated total energy is -94.9 eV per cell. The calculation puts the calculated volume at 182.6 Å³/f.u. For the formation energy (no corrections), the calculation gives -1.12 eV per atom.

a = 5.745 Å, b = 5.745 Å, c = 6.390 Å
α = 90.00°, β = 90.00°, γ = 120.00°
Each line ends with the local moment (μB).
Sites, in units of the cell vectors:
N: 0.654 0.827 0.293  0.08
N: 0.827 0.654 0.707  0.08
N: 0.346 0.173 0.707  0.08
N: 0.173 0.827 0.293  0.08
N: 0.827 0.173 0.707  0.08
N: 0.173 0.346 0.293  0.08
Si: 0.667 0.333 0.804  0.09
Si: 0.333 0.667 0.196  0.09
Pr: 0.000 0.000 0.000  0.02
Pr: 0.667 0.333 0.353  0.07
Pr: 0.333 0.667 0.647  0.07
Sc: 0.000 0.000 0.500  0.07

=====

[4]
This record from Alexandria describes Sm3HoTe2 after structural relaxation. The functional is PBE-GGA.

Calculated values
The value obtained for the calculated total energy is -59.6 eV per cell. The calculation puts the calculated volume at 186.6 Å³/f.u. For the formation energy (no corrections), the calculation gives -0.80 eV per atom.

a = 3.977 Å, b = 13.820 Å, c = 10.456 Å
α = 138.29°, β = 90.00°, γ = 98.27°
Sites, in units of the cell vectors:
Sm: 0.987 0.973 0.623
Sm: 0.655 0.309 0.845
Sm: 0.013 0.027 0.377
Sm: 0.603 0.206 0.317
Sm: 0.345 0.691 0.155
Sm: 0.397 0.794 0.683
Te: 0.573 0.147 0.968
Te: 0.193 0.386 0.686
Te: 0.807 0.614 0.314
Te: 0.427 0.853 0.032
Ho: 0.796 0.593 0.739
Ho: 0.204 0.407 0.261

=====

[5]
This record from Alexandria describes TbEr2Tl after structural relaxation. The functional is PBE-GGA.

Calculated values
The value obtained for the calculated total energy is -16.8 eV per cell. The calculation puts the calculated volume at 112.7 Å³/f.u. The energy above the lowest structure with this stoichiometry is 0 meV per atom.

a = 4.817 Å, b = 4.837 Å, c = 4.837 Å
α = 90.00°, β = 90.00°, γ = 90.00°
Each line ends with the local moment (μB).
Sites, in units of the cell vectors:
Er: 0.000 0.500 0.000  0.21
Er: 0.000 0.000 0.500  0.21
Tl: 0.500 0.000 0.000  -0.01
Tb: 0.500 0.500 0.500  0.20

=====

[6]
This record from Alexandria describes PrAgBr4 after structural relaxation. The functional is PBE-GGA.

Calculated values
The value obtained for the calculated total energy is -21.8 eV per cell. The calculation puts the calculated volume at 205.1 Å³/f.u. For the formation energy (no corrections), the calculation gives -1.24 eV per atom. The energy above the lowest structure with this stoichiometry is 34 meV per atom.

a = 6.459 Å, b = 6.459 Å, c = 6.459 Å
α = 113.09°, β = 113.08°, γ = 102.46°
Sites, in units of the cell vectors:
Br: 0.343 0.856 0.983
Br: 0.144 0.128 0.487
Br: 0.872 0.360 0.017
Br: 0.640 0.657 0.513
Pr: 0.750 0.250 0.500
Ag: 0.500 0.500 0.000